Record 1
This record from the Alexandria database describes a geometry-optimized K2SmPbO4 structure. The functional is PBE-GGA.

raw formation energy	-1.8905	eV per atom

abc: 6.196 3.612 6.654
angles: 90.00 108.52 90.00
Space group P2/m (No. 10)
One atom of each set of equivalent atoms:
K (0.000, 0.000, 0.000) [1 per cell]
K (0.500, 0.500, 0.000) [1 per cell]
Sm (0.000, 0.500, 0.500) [1 per cell]
Pb (0.500, 0.000, 0.500) [1 per cell]
O (0.222, 0.000, 0.695) [2 per cell]
O (0.264, 0.500, 0.303) [2 per cell]

***

Record 2
This record from the Alexandria database describes a geometry-optimized PmNd2F11 structure. The functional is PBE-GGA.

raw formation energy	-3.3989	eV per atom

abc: 8.734 10.537 11.634
angles: 90.00 90.00 90.00
Space group Ibam (No. 72)
One atom of each set of equivalent atoms:
Pm (0.000, 0.000, 0.250) [4 per cell]
Nd (0.162, 0.310, 0.000) [8 per cell]
F (0.000, 0.500, 0.000) [4 per cell]
F (0.102, 0.171, 0.145) [16 per cell]
F (0.107, 0.311, 0.500) [8 per cell]
F (0.200, 0.075, 0.368) [16 per cell]

***

Record 3
This record from the Alexandria database describes a geometry-optimized TcNiHRh2 structure. The functional is PBE-GGA.

abc: 3.848 3.848 3.870
angles: 90.00 90.00 90.00
Space group P4/mmm (No. 123)
One atom of each set of equivalent atoms:
Tc (0.000, 0.000, 0.000) [1 per cell]
Ni (0.500, 0.500, 0.000) [1 per cell]
H (0.000, 0.000, 0.500) [1 per cell]
Rh (0.000, 0.500, 0.500) [2 per cell]

***

Number 1: Fermi-level density of states 2.81 states/eV/f.u., VASP energy -45.6 eV for the cell shown. Number 2: Fermi-level density of states 13.12 states/eV/f.u., VASP energy -329.8 eV for the cell shown. Number 3: Fermi-level density of states 6.86 states/eV/f.u., VASP energy -33.7 eV for the cell shown.